Record 1
VASP calculation (PBE-GGA) on a relaxed Ta2SiHg crystal.

Geometry as CIF:
```
data_Ta2SiHg
_space_group_name_H-M_alt 'C 1 2/m 1'
_space_group_IT_number 12
_cell_length_a 5.796
_cell_length_b 8.530
_cell_length_c 2.891
_cell_angle_alpha 90.00
_cell_angle_beta 100.49
_cell_angle_gamma 90.00
loop_
_space_group_symop_operation_xyz
'x,y,z'
'-x,-y,-z'
'-x,y,-z'
'x,-y,z'
'x+1/2,y+1/2,z'
'-x+1/2,-y+1/2,-z'
'-x+1/2,y+1/2,-z'
'x+1/2,-y+1/2,z'
loop_
_atom_site_label
_atom_site_type_symbol
_atom_site_fract_x
_atom_site_fract_y
_atom_site_fract_z
Ta1 Ta 0.250 0.250 0.000
Si1 Si 0.000 0.000 0.500
Hg1 Hg 0.000 0.500 0.500
```

Output
Energy relative to the elements, uncorrected in eV per atom: 0.23
E_tot in eV/atom: -7.131
M_tot in Bohr magnetons per cell: 0.000

=====

Record 2
VASP calculation (PBE-GGA) on a relaxed MnVH2 crystal.

Geometry as CIF:
```
data_MnVH2
_space_group_name_H-M_alt 'P b c m'
_space_group_IT_number 57
_cell_length_a 5.394
_cell_length_b 4.645
_cell_length_c 4.408
_cell_angle_alpha 90.00
_cell_angle_beta 90.00
_cell_angle_gamma 90.00
loop_
_space_group_symop_operation_xyz
'x,y,z'
'-x,-y,-z'
'-x,-y,z+1/2'
'x,y,-z+1/2'
'x,-y+1/2,-z'
'-x,y+1/2,z'
'-x,y+1/2,-z+1/2'
'x,-y+1/2,z+1/2'
loop_
_atom_site_label
_atom_site_type_symbol
_atom_site_fract_x
_atom_site_fract_y
_atom_site_fract_z
Mn1 Mn 0.122 0.084 0.250
V1 V 0.368 0.579 0.250
H1 H 0.111 0.750 0.000
H2 H 0.370 0.250 0.000
```

Output
E_tot in eV/atom: -6.385
M_tot in Bohr magnetons per cell: 0.000
E above lowest polymorph in eV/f.u.: 0.00

=====

Record 3
VASP calculation (PBE-GGA) on a relaxed Pm8Zn2Hg crystal.

Geometry as CIF:
```
data_Pm8Zn2Hg
_space_group_name_H-M_alt 'C 1 2/m 1'
_space_group_IT_number 12
_cell_length_a 18.247
_cell_length_b 5.161
_cell_length_c 7.338
_cell_angle_alpha 90.00
_cell_angle_beta 108.18
_cell_angle_gamma 90.00
loop_
_space_group_symop_operation_xyz
'x,y,z'
'-x,-y,-z'
'-x,y,-z'
'x,-y,z'
'x+1/2,y+1/2,z'
'-x+1/2,-y+1/2,-z'
'-x+1/2,y+1/2,-z'
'x+1/2,-y+1/2,z'
loop_
_atom_site_label
_atom_site_type_symbol
_atom_site_fract_x
_atom_site_fract_y
_atom_site_fract_z
Pm1 Pm 0.030 0.000 0.263
Pm2 Pm 0.091 0.500 0.964
Pm3 Pm 0.171 0.500 0.468
Pm4 Pm 0.195 0.000 0.810
Zn1 Zn 0.186 0.000 0.204
Hg1 Hg 0.000 0.500 0.500
```

Output
Formation energy from the elements in eV/atom: -0.16
E_tot in eV/atom: -3.870
M_tot in Bohr magnetons per cell: 0.000
E above lowest polymorph in eV/f.u.: 0.00

=====

Record 4
VASP calculation (PBE-GGA) on a relaxed MnSiAgHg2 crystal.

Geometry as CIF:
```
data_MnSiAgHg2
_space_group_name_H-M_alt 'P 4/m m m'
_space_group_IT_number 123
_space_group_name_Hall '-P 4 2'
_cell_length_a 5.310
_cell_length_b 5.310
_cell_length_c 4.731
_cell_angle_alpha 90.00
_cell_angle_beta 90.00
_cell_angle_gamma 90.00
loop_
_atom_site_label
_atom_site_type_symbol
_atom_site_fract_x
_atom_site_fract_y
_atom_site_fract_z
Mn1 Mn 0.000 0.000 0.000
Si1 Si 0.500 0.500 0.000
Ag1 Ag 0.500 0.500 0.500
Hg1 Hg 0.000 0.500 0.500
```

Output
Energy relative to the elements, uncorrected in eV per atom: 0.91
E_tot in eV/atom: -2.701
M_tot in Bohr magnetons per cell: 4.553

=====

Record 5
VASP calculation (PBE-GGA) on a relaxed YTaHg crystal.

Geometry as CIF:
```
data_YTaHg
_space_group_name_H-M_alt 'P 3 m 1'
_space_group_IT_number 156
_cell_length_a 3.2820
_cell_length_b 3.2820
_cell_length_c 7.4659
_cell_angle_alpha 90.00
_cell_angle_beta 90.00
_cell_angle_gamma 120.00
loop_
_space_group_symop_operation_xyz
'x,y,z'
'-y,x-y,z'
'-x+y,-x,z'
'-y,-x,z'
'-x+y,y,z'
'x,x-y,z'
loop_
_atom_site_label
_atom_site_type_symbol
_atom_site_fract_x
_atom_site_fract_y
_atom_site_fract_z
Y1 Y 0.0000 0.0000 0.0000
Ta1 Ta 0.3333 0.6667 0.6717
Hg1 Hg 0.6667 0.3333 0.3558
```

Output
Formation energy from the elements in eV/atom: 0.25
E_tot in eV/atom: -5.958
M_tot in Bohr magnetons per cell: 0.000
E above lowest polymorph in eV/f.u.: 0.28

=====

Record 6
VASP calculation (PBE-GGA) on a relaxed LuTiFeNi crystal.

Geometry as CIF:
```
data_LuTiFeNi
_space_group_name_H-M_alt 'F -4 3 m'
_space_group_IT_number 216
_space_group_name_Hall 'F -4 2 3'
_cell_length_a 6.251
_cell_length_b 6.251
_cell_length_c 6.251
_cell_angle_alpha 90.00
_cell_angle_beta 90.00
_cell_angle_gamma 90.00
loop_
_atom_site_label
_atom_site_type_symbol
_atom_site_fract_x
_atom_site_fract_y
_atom_site_fract_z
Lu1 Lu 0.000 0.000 0.000
Ti1 Ti 0.000 0.000 0.500
Fe1 Fe 0.250 0.250 0.250
Ni1 Ni 0.250 0.250 0.750
```

Output
Formation energy from the elements in eV/atom: -0.20
E_tot in eV/atom: -6.866
M_tot in Bohr magnetons per cell: 0.005

=====

Record 7
VASP calculation (PBE-GGA) on a relaxed AlAg3Rh crystal.

Geometry as CIF:
```
data_AlAg3Rh
_space_group_name_H-M_alt 'P m -3 m'
_space_group_IT_number 221
_space_group_name_Hall '-P 4 2 3'
_cell_length_a 4.684
_cell_length_b 4.684
_cell_length_c 4.684
_cell_angle_alpha 90.00
_cell_angle_beta 90.00
_cell_angle_gamma 90.00
loop_
_atom_site_label
_atom_site_type_symbol
_atom_site_fract_x
_atom_site_fract_y
_atom_site_fract_z
Al1 Al 0.000 0.000 0.000
Ag1 Ag 0.000 0.000 0.500
Rh1 Rh 0.500 0.500 0.500
```

Output
Formation energy from the elements in eV/atom: 0.86
E_tot in eV/atom: -3.074
M_tot in Bohr magnetons per cell: 0.000
E above lowest polymorph in eV/f.u.: 0.00

=====

Record 8
VASP calculation (PBE-GGA) on a relaxed ZrCoPb crystal.

Geometry as CIF:
```
data_ZrCoPb
_space_group_name_H-M_alt 'I 4 m m'
_space_group_IT_number 107
_space_group_name_Hall 'I 4 -2'
_cell_length_a 3.215
_cell_length_b 3.215
_cell_length_c 11.390
_cell_angle_alpha 90.00
_cell_angle_beta 90.00
_cell_angle_gamma 90.00
loop_
_atom_site_label
_atom_site_type_symbol
_atom_site_fract_x
_atom_site_fract_y
_atom_site_fract_z
Zr1 Zr 0.000 0.000 0.000
Co1 Co 0.000 0.000 0.626
Pb1 Pb 0.000 0.000 0.286
```

Output
Formation energy from the elements in eV/atom: 0.01
E_tot in eV/atom: -6.444
M_tot in Bohr magnetons per cell: 2.077